# 1
Compound: Ti2Be9Ni
Source: the Alexandria database
Functional: PBE
Structure: optimized geometry

Values from the calculation:
crystal system: trigonal
ΔE_f: -1.2 eV/f.u.
total magnetic moment: 0.1538 μB/atom

Cell: 4.390 4.390 7.519 Å, 73.03 73.03 60.00°
Last column: magnetic moment on the atom in μB.
Fractional positions:
Be 0.666 0.666 0.003  0.00
Be 0.082 0.581 0.756  0.01
Be 0.500 0.500 0.500  -0.02
Be 0.419 0.918 0.244  0.01
Be 0.419 0.419 0.244  0.01
Be 0.581 0.581 0.756  0.01
Be 0.581 0.082 0.756  0.01
Be 0.918 0.419 0.244  0.01
Be 0.334 0.334 0.997  0.00
Ti 0.853 0.853 0.441  0.71
Ti 0.147 0.147 0.559  0.71
Ni 0.000 0.000 0.000  0.04



# 2
Compound: TiBeNi2
Source: the Alexandria database
Functional: PBE
Structure: optimized geometry

Values from the calculation:
crystal system: tetragonal
ΔE_f: -1.1 eV/f.u.
total magnetic moment: 0.0000 μB/atom

Cell: 2.832 4.038 4.038 Å, 90.00 90.00 90.00°
Fractional positions:
Ni 0.000 0.000 0.500
Ni 0.000 0.500 0.000
Ti 0.500 0.000 0.000
Be 0.500 0.500 0.500



# 3
Compound: TiBe5Ni4
Source: the Alexandria database
Functional: PBE
Structure: optimized geometry

Values from the calculation:
crystal system: tetragonal
ΔE_f: -3.9 eV/f.u.
total magnetic moment: 0.0473 μB/atom

Cell: 2.651 2.651 13.713 Å, 90.00 90.00 90.00°
Last column: magnetic moment on the atom in μB.
Fractional positions:
Be 0.500 0.500 0.130  0.00
Be 0.500 0.500 0.311  0.00
Be 0.500 0.500 0.689  0.00
Be 0.500 0.500 0.870  0.00
Be 0.500 0.500 0.500  0.00
Ti 0.000 0.000 0.000  0.37
Ni 0.000 0.000 0.782  0.01
Ni 0.000 0.000 0.218  0.01
Ni 0.000 0.000 0.406  0.00
Ni 0.000 0.000 0.594  0.00



# 4
Compound: Ti5Be2Ni12
Source: the Alexandria database
Functional: PBE
Structure: optimized geometry

Values from the calculation:
crystal system: monoclinic
ΔE_f: -5.4 eV/f.u.
total magnetic moment: 0.0000 μB/atom

Cell: 5.676 7.037 6.471 Å, 76.40 90.00 113.79°
Fractional positions:
Be 0.683 0.000 0.000
Be 0.317 0.000 0.000
Ti 0.000 0.000 0.500
Ti 0.752 0.505 0.237
Ti 0.315 0.631 0.212
Ti 0.685 0.369 0.788
Ti 0.248 0.495 0.763
Ni 0.611 0.694 0.498
Ni 0.944 0.889 0.174
Ni 0.056 0.111 0.826
Ni 0.511 0.021 0.307
Ni 0.918 0.306 0.502
Ni 0.389 0.306 0.502
Ni 0.063 0.713 0.892
Ni 0.351 0.287 0.108
Ni 0.937 0.287 0.108
Ni 0.082 0.694 0.498
Ni 0.649 0.713 0.892
Ni 0.489 0.979 0.693



# 5
Compound: TiBeNi2
Source: the Alexandria database
Functional: PBE
Structure: optimized geometry

Values from the calculation:
crystal system: tetragonal
ΔE_f: -1.6 eV/f.u.
total magnetic moment: 0.0000 μB/atom

Cell: 3.650 4.273 4.273 Å, 50.64 64.71 64.71°
Fractional positions:
Be 0.750 0.750 0.750
Ti 0.250 0.250 0.250
Ni 0.500 0.500 0.500
Ni 0.000 0.000 0.000



# 6
Compound: Ti3Be7Ni2
Source: the Alexandria database
Functional: PBE
Structure: optimized geometry

Values from the calculation:
crystal system: trigonal
ΔE_f: -3.2 eV/f.u.
total magnetic moment: 0.2116 μB/atom

Cell: 4.523 4.523 7.736 Å, 73.00 73.00 60.00°
Last column: magnetic moment on the atom in μB.
Fractional positions:
Be 0.417 0.417 0.248  0.01
Be 0.583 0.583 0.752  0.01
Be 0.417 0.918 0.248  0.01
Be 0.918 0.417 0.248  0.01
Be 0.583 0.082 0.752  0.01
Be 0.082 0.583 0.752  0.01
Be 0.500 0.500 0.500  -0.02
Ti 0.854 0.854 0.438  0.82
Ti 0.000 0.000 0.000  0.14
Ti 0.146 0.146 0.562  0.82
Ni 0.334 0.334 0.999  0.07
Ni 0.666 0.666 0.001  0.07



# 7
Compound: TiBe9Ni2
Source: the Alexandria database
Functional: PBE
Structure: optimized geometry

Values from the calculation:
crystal system: trigonal
ΔE_f: -3.1 eV/f.u.
total magnetic moment: 0.0115 μB/atom

Cell: 4.265 4.265 7.206 Å, 72.79 72.79 60.00°
Last column: magnetic moment on the atom in μB.
Fractional positions:
Be 0.411 0.918 0.260  0.00
Be 0.333 0.333 0.002  0.00
Be 0.918 0.411 0.260  0.00
Be 0.589 0.589 0.740  0.00
Be 0.082 0.589 0.740  0.00
Be 0.411 0.411 0.260  0.00
Be 0.500 0.500 0.500  0.00
Be 0.589 0.082 0.740  0.00
Be 0.667 0.667 0.998  0.00
Ni 0.141 0.141 0.577  0.01
Ni 0.859 0.859 0.423  0.01
Ti 0.000 0.000 0.000  0.09



# 8
Compound: Ti2BeNi6
Source: the Alexandria database
Functional: PBE
Structure: optimized geometry

Values from the calculation:
crystal system: orthorhombic
ΔE_f: -1.9 eV/f.u.
total magnetic moment: 0.0000 μB/atom

Cell: 2.537 7.538 6.808 Å, 123.62 100.78 90.00°
Fractional positions:
Ti 0.146 0.646 0.292
Ti 0.854 0.354 0.708
Ni 0.825 0.986 0.649
Ni 0.175 0.014 0.351
Ni 0.500 0.277 0.000
Ni 0.825 0.663 0.649
Ni 0.175 0.337 0.351
Ni 0.500 0.723 0.000
Be 0.000 0.000 0.000



Repeat the sixth record exactly.
Compound: Ti3Be7Ni2
Source: the Alexandria database
Functional: PBE
Structure: optimized geometry

Values from the calculation:
crystal system: trigonal
ΔE_f: -3.2 eV/f.u.
total magnetic moment: 0.2116 μB/atom

Cell: 4.523 4.523 7.736 Å, 73.00 73.00 60.00°
Last column: magnetic moment on the atom in μB.
Fractional positions:
Be 0.417 0.417 0.248  0.01
Be 0.583 0.583 0.752  0.01
Be 0.417 0.918 0.248  0.01
Be 0.918 0.417 0.248  0.01
Be 0.583 0.082 0.752  0.01
Be 0.082 0.583 0.752  0.01
Be 0.500 0.500 0.500  -0.02
Ti 0.854 0.854 0.438  0.82
Ti 0.000 0.000 0.000  0.14
Ti 0.146 0.146 0.562  0.82
Ni 0.334 0.334 0.999  0.07
Ni 0.666 0.666 0.001  0.07



Question: Number 2 is which compound?
Answer: TiBeNi2